Compound: NbVSnOs
Source: the Alexandria database
Functional: GGA-PBE
Structure: optimized geometry

Computed properties:
Formation enthalpy at 0 K: -0.016 eV/atom

Cell: 4.5514 4.5514 4.5514 Å, 60.00 60.00 60.00°
With the nearest neighbours (Å) after each atom.
Sites, in units of the cell vectors:
1 Nb 0.0000 0.0000 0.0000  4 Os 2.79, 4 V 2.79
2 V 0.2500 0.2500 0.2500  4 Sn 2.79, 4 Nb 2.79
3 Sn 0.5000 0.5000 0.5000  4 Os 2.79, 4 V 2.79
4 Os 0.7500 0.7500 0.7500  4 Nb 2.79, 4 Sn 2.79